NaTbMoO4 | PBE with a Hubbard U | optimized geometry

The calculated volume is 210.4 Å³/cell. As for the symmetry: Imma, No. 74. The calculated density is 5.4 g cm⁻³. As for the spin magnetization: 2.0 μB/f.u. As for the energy: -7.0459 eV per atom.

The structure in CIF format:
```
data_NaTbMoO4
_chemical_formula_sum 'Na2 Tb2 Mo2 O8'
_symmetry_space_group_name_H-M 'P 1'
_symmetry_Int_Tables_number 1
_cell_length_a 6.5517
_cell_length_b 6.6460
_cell_length_c 6.9441
_cell_angle_alpha 121.50
_cell_angle_beta 90.00
_cell_angle_gamma 119.53
loop_
_symmetry_equiv_pos_as_xyz
'x,y,z'
loop_
_atom_site_label
_atom_site_fract_x
_atom_site_fract_y
_atom_site_fract_z
_atom_site_occupancy
Na1 0.8812 0.7624 0.1312 1
Na2 0.1188 0.2376 0.8688 1
O1 0.6948 0.9437 0.7218 1
O2 0.2489 0.9437 0.7218 1
O3 0.7456 0.4913 0.2988 1
O4 0.7511 0.0563 0.2782 1
O5 0.7456 0.4913 0.6925 1
O6 0.3052 0.0563 0.2782 1
O7 0.2544 0.5087 0.3075 1
O8 0.2544 0.5087 0.7012 1
Tb1 0.5000 0.0000 0.0000 1
Tb2 0.5000 0.0000 0.5000 1
Mo1 0.0000 0.5000 0.5000 1
Mo2 0.5000 0.5000 0.5000 1
```